No. 1
Density functional theory data (GGA-PBE) for crystalline Th4CoPt at its relaxed geometry.

Output
The calculation puts the spin magnetization at 0.000 μB per formula unit. The formation energy from the elements is -0.4664 eV/atom. For the density, the calculation gives 12.839 g/cm³. For the total DFT energy (no corrections), the calculation gives -91.2 eV/cell. As for the volume: 25.48 Å³ per atom. The crystal system is tetragonal.

Cell: 7.1723 7.1723 5.9444 Å, 90.00 90.00 90.00°
Closest atoms and distances in Å follow each position.
Element x y z (fractional)
Th 0.1581 0.3242 0.0000  2 Co 2.98, 2 Pt 3.13
Th 0.1581 0.6758 0.5000  2 Co 2.98, 2 Pt 3.13
Th 0.3242 0.1581 0.5000  2 Co 2.98, 2 Pt 3.13
Th 0.3242 0.8419 0.0000  2 Co 2.98, 2 Pt 3.13
Th 0.6758 0.1581 0.0000  2 Co 2.98, 2 Pt 3.13
Th 0.6758 0.8419 0.5000  2 Co 2.98, 2 Pt 3.13
Th 0.8419 0.3242 0.5000  2 Co 2.98, 2 Pt 3.13
Th 0.8419 0.6758 0.0000  2 Co 2.98, 2 Pt 3.13
Co 0.0000 0.0000 0.2500  2 Co 2.97, 8 Th 2.98
Co 0.0000 0.0000 0.7500  2 Co 2.97, 8 Th 2.98
Pt 0.5000 0.5000 0.2500  2 Pt 2.97, 8 Th 3.13
Pt 0.5000 0.5000 0.7500  2 Pt 2.97, 8 Th 3.13

No. 2
Density functional theory data (GGA-PBE) for crystalline Th2Co2Pt at its relaxed geometry.

Output
The calculation puts the spin magnetization at 0.000 μB per formula unit. The formation energy from the elements is -0.6100 eV/atom. For the density, the calculation gives 13.430 g/cm³. For the total DFT energy (no corrections), the calculation gives -76.3 eV/cell. As for the volume: 19.22 Å³ per atom. The crystal system is tetragonal.

Cell: 7.2263 7.2263 3.6798 Å, 90.00 90.00 90.00°
Closest atoms and distances in Å follow each position.
Element x y z (fractional)
Th 0.1795 0.3205 0.0000  6 Co 2.71-2.90
Th 0.3205 0.8205 0.0000  6 Co 2.71-2.90
Th 0.6795 0.1795 0.0000  6 Co 2.71-2.90
Th 0.8205 0.6795 0.0000  6 Co 2.71-2.90
Co 0.1254 0.6254 0.5000  1 Co 2.56, 2 Th 2.71, 2 Pt 2.85
Co 0.3746 0.1254 0.5000  1 Co 2.56, 2 Th 2.71, 2 Pt 2.85
Co 0.6254 0.8746 0.5000  1 Co 2.56, 2 Th 2.71, 2 Pt 2.85
Co 0.8746 0.3746 0.5000  1 Co 2.56, 2 Th 2.71, 2 Pt 2.85
Pt 0.0000 0.0000 0.5000  4 Co 2.85
Pt 0.5000 0.5000 0.5000  4 Co 2.85

No. 3
Density functional theory data (GGA-PBE) for crystalline ThCo2Pt at its relaxed geometry.

Output
The calculation puts the spin magnetization at 1.467 μB per formula unit. The formation energy from the elements is -0.3890 eV/atom. For the density, the calculation gives 13.752 g/cm³. For the total DFT energy (no corrections), the calculation gives -29.2 eV/cell. As for the volume: 16.45 Å³ per atom. The crystal system is tetragonal.

Cell: 4.1231 4.1231 3.8711 Å, 90.00 90.00 90.00°
Closest atoms and distances in Å follow each position.
Element x y z (fractional)
Th 0.0000 0.0000 0.0000  8 Co 2.83, 4 Pt 2.92
Co 0.0000 0.5000 0.5000  4 Th 2.83, 4 Pt 2.83, 4 Co 2.92
Co 0.5000 0.0000 0.5000  4 Th 2.83, 4 Pt 2.83, 4 Co 2.92
Pt 0.5000 0.5000 0.0000  8 Co 2.83, 4 Th 2.92

No. 4
Density functional theory data (GGA-PBE) for crystalline Th2CoPt at its relaxed geometry.

Output
The calculation puts the spin magnetization at 0.000 μB per formula unit. The formation energy from the elements is -0.7749 eV/atom. For the density, the calculation gives 12.963 g/cm³. For the total DFT energy (no corrections), the calculation gives -62.2 eV/cell. As for the volume: 23.00 Å³ per atom. The crystal system is monoclinic.

Cell: 6.0066 4.1815 7.7900 Å, 90.00 109.91 90.00°
Closest atoms and distances in Å follow each position.
Element x y z (fractional)
Th 0.2258 0.2500 0.4443  3 Co 2.84-2.93, 3 Pt 2.98-3.13
Th 0.2274 0.2500 0.9199  2 Co 2.80, 3 Pt 2.96-3.11
Th 0.7726 0.7500 0.0801  2 Co 2.80, 3 Pt 2.96-3.11
Th 0.7742 0.7500 0.5557  3 Co 2.84-2.93, 3 Pt 2.98-3.13
Co 0.2937 0.7500 0.7029  5 Th 2.80-2.93, 2 Pt 3.01
Co 0.7063 0.2500 0.2971  5 Th 2.80-2.93, 2 Pt 3.01
Pt 0.3220 0.7500 0.2052  7 Th 2.96-3.17, 2 Co 3.01
Pt 0.6780 0.2500 0.7948  7 Th 2.96-3.17, 2 Co 3.01

No. 5
Density functional theory data (GGA-PBE) for crystalline Th4Co2Pt at its relaxed geometry.

Output
The calculation puts the spin magnetization at 0.000 μB per formula unit. The formation energy from the elements is -0.4443 eV/atom. For the density, the calculation gives 11.394 g/cm³. For the total DFT energy (no corrections), the calculation gives -106.1 eV/cell. As for the volume: 25.84 Å³ per atom. The crystal system is orthorhombic.

Cell: 7.7746 7.7746 7.7746 Å, 109.43 109.39 109.59°
Closest atoms and distances in Å follow each position.
Element x y z (fractional)
Th 0.2119 0.2722 0.5603  3 Co 2.64-2.84, 1 Pt 2.89
Th 0.2119 0.6516 0.9397  3 Co 2.64-2.84, 1 Pt 2.89
Th 0.2722 0.2119 0.0603  3 Co 2.64-2.84, 1 Pt 2.89
Th 0.3484 0.7881 0.5603  3 Co 2.64-2.84, 1 Pt 2.89
Th 0.6516 0.2119 0.4397  3 Co 2.64-2.84, 1 Pt 2.89
Th 0.7278 0.7881 0.9397  3 Co 2.64-2.84, 1 Pt 2.89
Th 0.7881 0.3484 0.0603  3 Co 2.64-2.84, 1 Pt 2.89
Th 0.7881 0.7278 0.4397  3 Co 2.64-2.84, 1 Pt 2.89
Co 0.0000 0.5000 0.5000  6 Th 2.64-2.84
Co 0.5000 0.0000 0.0000  6 Th 2.64-2.84
Co 0.5000 0.5000 0.0000  6 Th 2.64-2.84
Co 0.5000 0.5000 0.5000  6 Th 2.64-2.84
Pt 0.1247 0.8747 0.2500  4 Th 2.89
Pt 0.8753 0.1253 0.7500  4 Th 2.89

No. 6
Density functional theory data (GGA-PBE) for crystalline Th8CoPt2 at its relaxed geometry.

Output
The calculation puts the spin magnetization at 0.000 μB per formula unit. The formation energy from the elements is -0.4752 eV/atom. For the density, the calculation gives 12.344 g/cm³. For the total DFT energy (no corrections), the calculation gives -83.8 eV/cell. As for the volume: 28.19 Å³ per atom. The crystal system is monoclinic.

Cell: 9.4013 9.4013 8.8976 Å, 94.49 94.49 23.31°
Closest atoms and distances in Å follow each position.
Element x y z (fractional)
Th 0.0136 0.0136 0.2070  2 Co 2.64
Th 0.2149 0.2149 0.3390  2 Pt 3.00
Th 0.3401 0.3401 0.0041  1 Co 2.95, 2 Pt 2.97
Th 0.4086 0.4086 0.4775  2 Pt 2.99
Th 0.5914 0.5914 0.5225  2 Pt 2.99
Th 0.6599 0.6599 0.9959  1 Co 2.95, 2 Pt 2.97
Th 0.7851 0.7851 0.6610  2 Pt 3.00
Th 0.9864 0.9864 0.7930  2 Co 2.64
Co 0.5000 0.5000 0.0000  6 Th 2.64-2.95
Pt 0.1682 0.1682 0.7414  6 Th 2.97-3.00
Pt 0.8318 0.8318 0.2586  6 Th 2.97-3.00

No. 7
Density functional theory data (GGA-PBE) for crystalline Th2CoPt at its relaxed geometry.

Output
The calculation puts the spin magnetization at 0.000 μB per formula unit. The formation energy from the elements is -0.0306 eV/atom. For the density, the calculation gives 10.742 g/cm³. For the total DFT energy (no corrections), the calculation gives -28.1 eV/cell. As for the volume: 27.75 Å³ per atom. The crystal system is trigonal.

Cell: 8.7192 8.7192 8.7192 Å, 25.85 25.85 25.85°
Closest atoms and distances in Å follow each position.
Element x y z (fractional)
Th 0.1063 0.1063 0.1063  1 Pt 2.69, 3 Co 2.72
Th 0.8937 0.8937 0.8937  1 Pt 2.69, 3 Co 2.72
Co 0.5000 0.5000 0.5000  6 Th 2.72
Pt 0.0000 0.0000 0.0000  2 Th 2.69

No. 8
Density functional theory data (GGA-PBE) for crystalline Th3CoPt2 at its relaxed geometry.

Output
The calculation puts the spin magnetization at 0.000 μB per formula unit. The formation energy from the elements is -0.8859 eV/atom. For the density, the calculation gives 12.808 g/cm³. For the total DFT energy (no corrections), the calculation gives -46.8 eV/cell. As for the volume: 24.75 Å³ per atom. The crystal system is orthorhombic.

Cell: 7.2027 7.2027 7.2027 Å, 147.20 132.28 59.11°
Closest atoms and distances in Å follow each position.
Element x y z (fractional)
Th 0.0000 0.0000 0.0000  2 Co 2.91, 4 Pt 2.97
Th 0.3482 0.3482 0.0000  2 Co 2.78, 4 Pt 2.92-3.00
Th 0.6518 0.6518 0.0000  2 Co 2.78, 4 Pt 2.92-3.00
Co 0.5000 0.0000 0.5000  6 Th 2.78-2.91
Pt 0.1724 0.6724 0.5000  6 Th 2.92-3.00
Pt 0.8276 0.3276 0.5000  6 Th 2.92-3.00